VRhN2F PBE with a Hubbard U optimized geometry; total moment = 1.968 μB per cell; calculated volume = 63 Å³ per cell; D(E_F) = 4.23 states/eV per cell; electronic total energy = -0.2209 hartree per atom; excess energy over the best structure of this formula in the dataset = 272 meV/atom
1.0
-1.875 2.465 2.359
-3.400 -1.127 -1.525
-0.301 -2.975 2.870
N F Rh V
2 1 1 1
direct
0.000 0.500 0.000 N
0.500 0.000 0.000 N
0.000 0.000 0.500 F
0.000 0.000 0.000 Rh
0.500 0.500 0.500 V